Entry 1:
Density functional theory data (PBE-GGA) for a relaxed PuGa2Pd crystal.

Summary:
Crystal system   cubic
Theoretical density   10.8 g/cm³
ΔH_f (0 K)   -394 meV per atom

Lattice parameters (Å, degrees): 4.7369 4.7369 4.7369 60.00 60.00 60.00
Last column: nearest neighbours and their distance in Å.
Fractional positions:
Ga (0.2500, 0.2500, 0.2500)  4 Pd 2.90, 4 Pu 2.90
Ga (0.7500, 0.7500, 0.7500)  4 Pd 2.90, 4 Pu 2.90
Pd (0.5000, 0.5000, 0.5000)  8 Ga 2.90
Pu (0.0000, 0.0000, 0.0000)  8 Ga 2.90

---

Entry 2:
Density functional theory data (PBE-GGA) for a relaxed PuGa2Pd crystal.

Summary:
Crystal system   trigonal
Theoretical density   10.1 g/cm³
ΔH_f (0 K)   -458 meV per atom

Lattice parameters (Å, degrees): 4.2784 4.2784 5.6322 67.68 67.68 60.00
Last column: nearest neighbours and their distance in Å.
Fractional positions:
Pd (0.0000, 0.0000, 0.0000)  6 Ga 2.59
Ga (0.7176, 0.7176, 0.8471)  3 Pd 2.59
Ga (0.2824, 0.2824, 0.1529)  3 Pd 2.59
Pu (0.5000, 0.5000, 0.5000)  8 Ga 3.03-3.30

---

Entry 3:
Density functional theory data (PBE-GGA) for a relaxed Pu2Ga12Pd crystal.

Summary:
Crystal system   tetragonal
Theoretical density   8.2 g/cm³
ΔH_f (0 K)   -307 meV per atom

Lattice parameters (Å, degrees): 6.0791 6.0791 15.5904 90.00 90.00 90.00
Last column: nearest neighbours and their distance in Å.
Fractional positions:
Ga (0.7500, 0.7500, 0.9090)  2 Pd 2.58, 3 Ga 2.64-2.84
Ga (0.2500, 0.2500, 0.9090)  2 Pd 2.58, 3 Ga 2.64-2.84
Ga (0.0000, 0.0000, 0.1890)  5 Ga 2.43-2.64
Ga (0.2500, 0.7500, 0.9090)  2 Pd 2.58, 3 Ga 2.64-2.84
Ga (0.2500, 0.7500, 0.0910)  2 Pd 2.58, 3 Ga 2.64-2.84
Ga (0.1708, 0.3292, 0.4298)  3 Ga 2.58-2.62
Ga (0.6708, 0.1708, 0.4298)  3 Ga 2.58-2.62
Ga (0.6708, 0.8292, 0.5702)  3 Ga 2.58-2.62
Ga (0.0000, 0.0000, 0.8110)  5 Ga 2.43-2.64
Ga (0.7500, 0.2500, 0.9090)  2 Pd 2.58, 3 Ga 2.64-2.84
Ga (0.0000, 0.0000, 0.6554)  5 Ga 2.43-2.62
Ga (0.8292, 0.6708, 0.4298)  3 Ga 2.58-2.62
Ga (0.1708, 0.6708, 0.5702)  3 Ga 2.58-2.62
Ga (0.5000, 0.5000, 0.6554)  5 Ga 2.43-2.62
Ga (0.7500, 0.2500, 0.0910)  2 Pd 2.58, 3 Ga 2.64-2.84
Ga (0.5000, 0.5000, 0.8110)  5 Ga 2.43-2.64
Ga (0.3292, 0.8292, 0.4298)  3 Ga 2.58-2.62
Ga (0.7500, 0.7500, 0.0910)  2 Pd 2.58, 3 Ga 2.64-2.84
Ga (0.0000, 0.0000, 0.3446)  5 Ga 2.43-2.62
Ga (0.8292, 0.3292, 0.5702)  3 Ga 2.58-2.62
Ga (0.2500, 0.2500, 0.0910)  2 Pd 2.58, 3 Ga 2.64-2.84
Ga (0.3292, 0.1708, 0.5702)  3 Ga 2.58-2.62
Ga (0.5000, 0.5000, 0.3446)  5 Ga 2.43-2.62
Ga (0.5000, 0.5000, 0.1890)  5 Ga 2.43-2.64
Pu (0.5000, 0.0000, 0.7564)  14 Ga 3.16-3.42
Pu (0.5000, 0.0000, 0.2436)  14 Ga 3.16-3.42
Pu (0.0000, 0.5000, 0.2436)  14 Ga 3.16-3.42
Pu (0.0000, 0.5000, 0.7564)  14 Ga 3.16-3.42
Pd (0.0000, 0.5000, 0.0000)  8 Ga 2.58
Pd (0.5000, 0.0000, 0.0000)  8 Ga 2.58

---

Entry 4:
Density functional theory data (PBE-GGA) for a relaxed Pu3Ga8Pd3 crystal.

Summary:
Crystal system   orthorhombic
Theoretical density   10.2 g/cm³
ΔH_f (0 K)   -505 meV per atom

Lattice parameters (Å, degrees): 4.3326 8.1783 8.1783 72.93 74.64 74.64
Last column: nearest neighbours and their distance in Å.
Fractional positions:
Ga (0.3710, 0.3468, 0.9113)  3 Ga 2.65-2.71, 3 Pd 2.65-2.70
Ga (0.8367, 0.5312, 0.7955)  4 Ga 2.57-2.71, 1 Pd 2.57
Ga (0.6290, 0.0887, 0.6532)  3 Ga 2.65-2.71, 3 Pd 2.65-2.70
Ga (0.6290, 0.6532, 0.0887)  3 Ga 2.65-2.71, 3 Pd 2.65-2.70
Ga (0.3710, 0.9113, 0.3468)  3 Ga 2.65-2.71, 3 Pd 2.65-2.70
Ga (0.1633, 0.2045, 0.4688)  4 Ga 2.57-2.71, 1 Pd 2.57
Ga (0.1633, 0.4688, 0.2045)  4 Ga 2.57-2.71, 1 Pd 2.57
Ga (0.8367, 0.7955, 0.5312)  4 Ga 2.57-2.71, 1 Pd 2.57
Pd (0.0000, 0.2056, 0.7944)  6 Ga 2.57-2.70
Pd (0.0000, 0.7944, 0.2056)  6 Ga 2.57-2.70
Pd (0.5000, 0.0000, 0.0000)  4 Ga 2.65, 4 Pd 2.95
Pu (0.1943, 0.8057, 0.8057)  8 Ga 3.08-3.14, 4 Pd 3.13-3.24
Pu (0.5000, 0.5000, 0.5000)  12 Ga 3.18-3.23
Pu (0.8057, 0.1943, 0.1943)  8 Ga 3.08-3.14, 4 Pd 3.13-3.24

---

Entry 5:
Density functional theory data (PBE-GGA) for a relaxed Pu4Ga16Pd3 crystal.

Summary:
Crystal system   tetragonal
Theoretical density   9.3 g/cm³
ΔH_f (0 K)   -483 meV per atom

Lattice parameters (Å, degrees): 6.2152 6.2152 11.1774 90.00 90.00 90.00
Last column: nearest neighbours and their distance in Å.
Fractional positions:
Ga (0.2545, 0.7455, 0.6255)  2 Pd 2.61, 3 Ga 2.77-2.91
Ga (0.7455, 0.2545, 0.3745)  2 Pd 2.61, 3 Ga 2.77-2.91
Ga (0.7118, 0.7118, 0.0000)  1 Pd 2.53, 2 Ga 2.63
Ga (0.2545, 0.2545, 0.6255)  2 Pd 2.61, 3 Ga 2.77-2.91
Ga (0.7455, 0.7455, 0.6255)  2 Pd 2.61, 3 Ga 2.77-2.91
Ga (0.7455, 0.2545, 0.6255)  2 Pd 2.61, 3 Ga 2.77-2.91
Ga (0.5000, 0.5000, 0.2005)  8 Ga 2.91, 4 Pu 3.11
Ga (0.2882, 0.7118, 0.0000)  1 Pd 2.53, 2 Ga 2.63
Ga (0.2545, 0.7455, 0.3745)  2 Pd 2.61, 3 Ga 2.77-2.91
Ga (0.5000, 0.5000, 0.7995)  8 Ga 2.91, 4 Pu 3.11
Ga (0.7118, 0.2882, 0.0000)  1 Pd 2.53, 2 Ga 2.63
Ga (0.0000, 0.0000, 0.7719)  1 Pd 2.55, 4 Ga 2.77
Ga (0.2545, 0.2545, 0.3745)  2 Pd 2.61, 3 Ga 2.77-2.91
Ga (0.7455, 0.7455, 0.3745)  2 Pd 2.61, 3 Ga 2.77-2.91
Ga (0.2882, 0.2882, 0.0000)  1 Pd 2.53, 2 Ga 2.63
Ga (0.0000, 0.0000, 0.2281)  1 Pd 2.55, 4 Ga 2.77
Pd (0.5000, 0.0000, 0.5000)  8 Ga 2.61
Pd (0.0000, 0.5000, 0.5000)  8 Ga 2.61
Pd (0.0000, 0.0000, 0.0000)  6 Ga 2.53-2.55
Pu (0.0000, 0.5000, 0.8113)  12 Ga 3.02-3.14
Pu (0.5000, 0.0000, 0.8113)  12 Ga 3.02-3.14
Pu (0.5000, 0.0000, 0.1887)  12 Ga 3.02-3.14
Pu (0.0000, 0.5000, 0.1887)  12 Ga 3.02-3.14

---

Entry 6:
Density functional theory data (PBE-GGA) for a relaxed PuGa2Pd crystal.

Summary:
Crystal system   tetragonal
Theoretical density   10.3 g/cm³
ΔH_f (0 K)   -331 meV per atom

Lattice parameters (Å, degrees): 4.5696 4.1494 4.1494 90.00 90.00 90.00
Last column: nearest neighbours and their distance in Å.
Fractional positions:
Pu (0.5000, 0.5000, 0.5000)  4 Pd 2.93, 8 Ga 3.09
Ga (0.0000, 0.5000, 0.0000)  4 Ga 2.93, 4 Pd 3.09, 4 Pu 3.09
Ga (0.0000, 0.0000, 0.5000)  4 Ga 2.93, 4 Pu 3.09, 4 Pd 3.09
Pd (0.5000, 0.0000, 0.0000)  4 Pu 2.93, 8 Ga 3.09

---

Entry 7:
Density functional theory data (PBE-GGA) for a relaxed PuGa2Pd crystal.

Summary:
Crystal system   orthorhombic
Theoretical density   10.5 g/cm³
ΔH_f (0 K)   -488 meV per atom

Lattice parameters (Å, degrees): 5.4479 6.7720 8.4081 90.00 90.00 90.00
Last column: nearest neighbours and their distance in Å.
Fractional positions:
Ga (0.1190, 0.9465, 0.8115)  3 Pd 2.61-2.69, 1 Ga 2.66
Ga (0.6190, 0.0535, 0.6885)  3 Pd 2.61-2.69, 1 Ga 2.66
Ga (0.3810, 0.5535, 0.3115)  3 Pd 2.61-2.69, 1 Ga 2.66
Ga (0.1190, 0.5535, 0.8115)  3 Pd 2.61-2.69, 1 Ga 2.66
Ga (0.8810, 0.4465, 0.1885)  3 Pd 2.61-2.69, 1 Ga 2.66
Ga (0.3810, 0.9465, 0.3115)  3 Pd 2.61-2.69, 1 Ga 2.66
Ga (0.8810, 0.0535, 0.1885)  3 Pd 2.61-2.69, 1 Ga 2.66
Ga (0.6190, 0.4465, 0.6885)  3 Pd 2.61-2.69, 1 Ga 2.66
Pu (0.3768, 0.2500, 0.0420)  2 Pd 2.89-3.00, 4 Ga 3.06-3.15
Pu (0.6232, 0.7500, 0.9580)  2 Pd 2.89-3.00, 4 Ga 3.06-3.15
Pu (0.8768, 0.7500, 0.4580)  2 Pd 2.89-3.00, 4 Ga 3.06-3.15
Pu (0.1232, 0.2500, 0.5420)  2 Pd 2.89-3.00, 4 Ga 3.06-3.15
Pd (0.8656, 0.2500, 0.9100)  6 Ga 2.61-2.69, 1 Pu 2.89
Pd (0.3656, 0.7500, 0.5900)  6 Ga 2.61-2.69, 1 Pu 2.89
Pd (0.6344, 0.2500, 0.4100)  6 Ga 2.61-2.69, 1 Pu 2.89
Pd (0.1344, 0.7500, 0.0900)  6 Ga 2.61-2.69, 1 Pu 2.89

---

Entry 8:
Density functional theory data (PBE-GGA) for a relaxed Pu3GaPd2 crystal.

Summary:
Crystal system   orthorhombic
Theoretical density   13.0 g/cm³
ΔH_f (0 K)   -321 meV per atom

Lattice parameters (Å, degrees): 5.6274 6.8532 6.8532 100.40 90.00 90.00
Last column: nearest neighbours and their distance in Å.
Fractional positions:
Ga (0.2500, 0.6342, 0.3658)  4 Pd 2.63
Ga (0.7500, 0.3658, 0.6342)  4 Pd 2.63
Pu (0.7500, 0.5843, 0.0767)  3 Pu 2.97-3.15, 4 Pd 3.03-3.18, 1 Ga 3.13
Pu (0.7500, 0.9233, 0.4157)  3 Pu 2.97-3.15, 4 Pd 3.03-3.18, 1 Ga 3.13
Pu (0.2500, 0.0767, 0.5843)  3 Pu 2.97-3.15, 4 Pd 3.03-3.18, 1 Ga 3.13
Pu (0.2500, 0.9232, 0.0768)  1 Ga 3.04, 4 Pd 3.12, 2 Pu 3.25
Pu (0.2500, 0.4157, 0.9233)  3 Pu 2.97-3.15, 4 Pd 3.03-3.18, 1 Ga 3.13
Pu (0.7500, 0.0768, 0.9232)  1 Ga 3.04, 4 Pd 3.12, 2 Pu 3.25
Pd (0.5000, 0.6958, 0.6958)  2 Ga 2.63, 2 Pd 2.81
Pd (0.0000, 0.3042, 0.3042)  2 Ga 2.63, 2 Pd 2.81
Pd (0.5000, 0.3042, 0.3042)  2 Ga 2.63, 2 Pd 2.81
Pd (0.0000, 0.6958, 0.6958)  2 Ga 2.63, 2 Pd 2.81

---

Entry 9:
Density functional theory data (PBE-GGA) for a relaxed Pu2GaPd crystal.

Summary:
Crystal system   orthorhombic
Theoretical density   13.3 g/cm³
ΔH_f (0 K)   -374 meV per atom

Lattice parameters (Å, degrees): 4.4333 4.3297 4.3297 90.09 90.00 90.00
Last column: nearest neighbours and their distance in Å.
Fractional positions:
Ga (0.5000, 0.5000, 0.0000)  4 Pd 3.06, 8 Pu 3.10
Pd (0.5000, 0.0000, 0.5000)  4 Ga 3.06, 8 Pu 3.10
Pu (0.0000, 0.5000, 0.5000)  4 Pu 3.06, 4 Ga 3.10, 4 Pd 3.10
Pu (0.0000, 0.0000, 0.0000)  4 Pu 3.06, 4 Pd 3.10, 4 Ga 3.10

---

Entry 10:
Density functional theory data (PBE-GGA) for a relaxed PuGa2Pd3 crystal.

Summary:
Crystal system   monoclinic
Theoretical density   10.7 g/cm³
ΔH_f (0 K)   -561 meV per atom

Lattice parameters (Å, degrees): 4.2839 9.0106 6.6317 117.86 90.00 103.75
Last column: nearest neighbours and their distance in Å.
Fractional positions:
Ga (0.7697, 0.5394, 0.2272)  7 Pd 2.49-2.78
Ga (0.4862, 0.9725, 0.7388)  4 Pd 2.51-2.72
Ga (0.2303, 0.4606, 0.7728)  7 Pd 2.49-2.78
Ga (0.5138, 0.0275, 0.2612)  4 Pd 2.51-2.72
Pd (0.6462, 0.2924, 0.8154)  4 Ga 2.54-2.69, 1 Pd 2.74
Pd (0.3092, 0.6183, 0.5284)  4 Ga 2.59-2.78, 3 Pd 2.74-2.88
Pd (0.3538, 0.7076, 0.1846)  4 Ga 2.54-2.69, 1 Pd 2.74
Pd (0.9265, 0.8529, 0.5237)  3 Ga 2.49-2.51, 1 Pd 2.74
Pd (0.6908, 0.3817, 0.4716)  4 Ga 2.59-2.78, 3 Pd 2.74-2.88
Pd (0.0735, 0.1471, 0.4763)  3 Ga 2.49-2.51, 1 Pd 2.74
Pu (0.8830, 0.7660, 0.9120)  6 Pd 3.00-3.22, 6 Ga 3.18-3.34
Pu (0.1170, 0.2340, 0.0880)  6 Pd 3.00-3.22, 6 Ga 3.18-3.34

---

Entry 11:
Density functional theory data (PBE-GGA) for a relaxed Pu2Ga2Pd crystal.

Summary:
Crystal system   orthorhombic
Theoretical density   11.3 g/cm³
ΔH_f (0 K)   -394 meV per atom

Lattice parameters (Å, degrees): 4.2929 5.7902 5.7902 55.32 68.24 68.24
Last column: nearest neighbours and their distance in Å.
Fractional positions:
Ga (0.5000, 0.7403, 0.2597)  2 Pd 2.56, 2 Ga 2.58-2.79
Ga (0.5000, 0.2597, 0.7403)  2 Pd 2.56, 2 Ga 2.58-2.79
Pu (0.2043, 0.2957, 0.2957)  6 Ga 3.09-3.15, 2 Pd 3.29
Pu (0.7957, 0.7043, 0.7043)  6 Ga 3.09-3.15, 2 Pd 3.29
Pd (0.0000, 0.0000, 0.0000)  4 Ga 2.56

---

Entry 12:
Density functional theory data (PBE-GGA) for a relaxed Pu3Ga12Pd crystal.

Summary:
Crystal system   tetragonal
Theoretical density   9.3 g/cm³
ΔH_f (0 K)   -338 meV per atom

Lattice parameters (Å, degrees): 4.2937 4.2937 16.3108 90.00 90.00 90.00
Last column: nearest neighbours and their distance in Å.
Fractional positions:
Ga (0.5000, 0.0000, 0.3694)  8 Ga 2.97-3.04, 4 Pu 3.02-3.06
Ga (0.0000, 0.5000, 0.3694)  8 Ga 2.97-3.04, 4 Pu 3.02-3.06
Ga (0.5000, 0.0000, 0.6306)  8 Ga 2.97-3.04, 4 Pu 3.02-3.06
Ga (0.5000, 0.5000, 0.5000)  8 Ga 3.02, 4 Pu 3.04
Ga (0.5000, 0.0000, 0.8923)  2 Pd 2.77, 8 Ga 2.77-3.09, 2 Pu 2.99
Ga (0.0000, 0.5000, 0.6306)  8 Ga 2.97-3.04, 4 Pu 3.02-3.06
Ga (0.5000, 0.5000, 0.7562)  8 Ga 2.97-3.09, 4 Pu 3.04
Ga (0.5000, 0.5000, 0.2438)  8 Ga 2.97-3.09, 4 Pu 3.04
Ga (0.0000, 0.5000, 0.1077)  8 Ga 2.77-3.09, 2 Pd 2.77, 2 Pu 2.99
Ga (0.5000, 0.0000, 0.1077)  2 Pd 2.77, 8 Ga 2.77-3.09, 2 Pu 2.99
Ga (0.0000, 0.5000, 0.8923)  8 Ga 2.77-3.09, 2 Pd 2.77, 2 Pu 2.99
Ga (0.5000, 0.5000, 0.0000)  8 Ga 2.77, 4 Pd 3.04
Pu (0.0000, 0.0000, 0.5000)  12 Ga 3.02-3.04
Pu (0.0000, 0.0000, 0.7646)  12 Ga 2.99-3.06
Pu (0.0000, 0.0000, 0.2354)  12 Ga 2.99-3.06
Pd (0.0000, 0.0000, 0.0000)  12 Ga 2.77-3.04